No. 1
DFT (SCAN) results for VH10C2O10 at its PBEsol-relaxed geometry.

Calculated values
V (Å³ per atom): 8.9
Final energy (eV/atom): -7.125
M_tot (μB/cell): 4.00

a = 7.017 Å, b = 8.553 Å, c = 13.693 Å
α = 90.00°, β = 95.56°, γ = 90.00°
Sites, in units of the cell vectors:
V1 0.196 0.235 0.014
V2 0.196 0.265 0.514
V3 0.804 0.735 0.486
V4 0.804 0.765 0.986
H1 0.118 0.132 0.672
H2 0.118 0.368 0.172
H3 0.191 0.549 0.955
H4 0.191 0.951 0.455
H5 0.225 0.697 0.309
H6 0.225 0.803 0.809
H7 0.255 0.524 0.354
H8 0.255 0.976 0.854
H9 0.308 0.026 0.372
H10 0.308 0.474 0.872
H11 0.346 0.089 0.659
H12 0.346 0.411 0.159
H13 0.403 0.611 0.735
H14 0.403 0.889 0.235
H15 0.438 0.691 0.429
H16 0.438 0.809 0.929
H17 0.454 0.748 0.546
H18 0.454 0.752 0.046
H19 0.476 0.545 0.259
H20 0.476 0.955 0.759
H21 0.524 0.045 0.241
H22 0.524 0.455 0.741
H23 0.546 0.248 0.954
H24 0.546 0.252 0.454
H25 0.562 0.191 0.071
H26 0.562 0.309 0.571
H27 0.597 0.111 0.765
H28 0.597 0.389 0.265
H29 0.654 0.589 0.841
H30 0.654 0.911 0.341
H31 0.692 0.526 0.128
H32 0.692 0.974 0.628
H33 0.745 0.024 0.146
H34 0.745 0.476 0.646
H35 0.775 0.197 0.191
H36 0.775 0.303 0.691
H37 0.809 0.049 0.545
H38 0.809 0.451 0.045
H39 0.882 0.632 0.828
H40 0.882 0.868 0.328
C1 0.005 0.688 0.670
C2 0.005 0.812 0.170
C3 0.155 0.743 0.603
C4 0.155 0.757 0.103
C5 0.845 0.243 0.897
C6 0.845 0.257 0.397
C7 0.995 0.188 0.830
C8 0.995 0.312 0.330
O1 0.047 0.682 0.760
O2 0.047 0.818 0.260
O3 0.088 0.718 0.016
O4 0.088 0.782 0.516
O5 0.157 0.149 0.875
O6 0.157 0.351 0.375
O7 0.180 0.076 0.074
O8 0.180 0.424 0.574
O9 0.213 0.111 0.623
O10 0.213 0.389 0.123
O11 0.216 0.049 0.421
O12 0.216 0.451 0.921
O13 0.324 0.622 0.338
O14 0.324 0.878 0.838
O15 0.328 0.745 0.636
O16 0.328 0.755 0.136
O17 0.463 0.533 0.783
O18 0.463 0.967 0.283
O19 0.477 0.244 0.015
O20 0.477 0.256 0.515
O21 0.523 0.744 0.485
O22 0.523 0.756 0.985
O23 0.537 0.033 0.717
O24 0.537 0.467 0.217
O25 0.672 0.245 0.864
O26 0.672 0.255 0.364
O27 0.676 0.122 0.162
O28 0.676 0.378 0.662
O29 0.784 0.549 0.079
O30 0.784 0.951 0.579
O31 0.787 0.611 0.877
O32 0.787 0.889 0.377
O33 0.820 0.576 0.426
O34 0.820 0.924 0.926
O35 0.843 0.649 0.625
O36 0.843 0.851 0.125
O37 0.912 0.218 0.484
O38 0.912 0.282 0.984
O39 0.953 0.182 0.740
O40 0.953 0.318 0.240


No. 2
DFT (SCAN) results for Mg2AgAs at its PBEsol-relaxed geometry.

Calculated values
V (Å³ per atom): 18.2
M_tot (μB/cell): 0.00
Energy relative to the elements (eV per atom): -0.283

a = 3.174 Å, b = 3.719 Å, c = 6.166 Å
α = 90.00°, β = 90.00°, γ = 90.00°
Sites, in units of the cell vectors:
Mg1 0.000 0.000 0.249
Mg2 0.000 0.000 0.751
Ag1 0.500 0.500 0.500
As1 0.500 0.500 0.000


No. 3
DFT (SCAN) results for B2IrRh at its PBEsol-relaxed geometry.

Calculated values
V (Å³ per atom): 12.6
M_tot (μB/cell): 0.00
Energy relative to the elements (eV per atom): -0.042

a = 4.641 Å, b = 4.641 Å, c = 9.338 Å
α = 90.00°, β = 90.00°, γ = 90.00°
Sites, in units of the cell vectors:
B1 0.249 0.250 0.125
B2 0.250 0.749 0.375
B3 0.250 0.751 0.875
B4 0.251 0.250 0.625
B5 0.749 0.750 0.625
B6 0.750 0.249 0.875
B7 0.750 0.251 0.375
B8 0.751 0.750 0.125
Ir1 0.000 0.000 0.000
Ir2 0.000 0.500 0.250
Ir3 0.500 0.000 0.750
Ir4 0.500 0.500 0.500
Rh1 0.000 0.000 0.500
Rh2 0.000 0.500 0.750
Rh3 0.500 0.000 0.250
Rh4 0.500 0.500 0.000


No. 4
DFT (SCAN) results for KCd2Hg at its PBEsol-relaxed geometry.

Calculated values
V (Å³ per atom): 26.5
M_tot (μB/cell): 0.00
Energy relative to the elements (eV per atom): -0.114

a = 3.120 Å, b = 4.166 Å, c = 8.144 Å
α = 90.00°, β = 90.00°, γ = 90.00°
Sites, in units of the cell vectors:
K1 0.000 0.000 0.000
Cd1 0.000 0.000 0.504
Cd2 0.500 0.500 0.313
Hg1 0.500 0.500 0.715


No. 5
DFT (SCAN) results for Cs3In3P4O16 at its PBEsol-relaxed geometry.

Calculated values
V (Å³ per atom): 15.9
Final energy (eV/atom): -16.028
M_tot (μB/cell): 0.00

a = 9.655 Å, b = 9.655 Å, c = 9.976 Å
α = 91.17°, β = 91.17°, γ = 63.02°
Sites, in units of the cell vectors:
Cs1 0.000 0.500 0.500
Cs2 0.057 0.172 0.186
Cs3 0.172 0.057 0.686
Cs4 0.500 0.000 0.000
Cs5 0.828 0.943 0.314
Cs6 0.943 0.828 0.814
In1 0.171 0.536 0.169
In2 0.416 0.584 0.750
In3 0.464 0.829 0.331
In4 0.536 0.171 0.669
In5 0.584 0.416 0.250
In6 0.829 0.464 0.831
P1 0.216 0.385 0.856
P2 0.273 0.705 0.439
P3 0.295 0.727 0.061
P4 0.385 0.216 0.356
P5 0.615 0.784 0.644
P6 0.705 0.273 0.939
P7 0.727 0.295 0.561
P8 0.784 0.615 0.144
O1 0.061 0.405 0.791
O2 0.122 0.757 0.071
O3 0.159 0.670 0.351
O4 0.208 0.372 0.010
O5 0.231 0.345 0.299
O6 0.243 0.878 0.429
O7 0.246 0.522 0.818
O8 0.252 0.669 0.585
O9 0.330 0.841 0.149
O10 0.331 0.748 0.915
O11 0.345 0.231 0.799
O12 0.372 0.208 0.510
O13 0.387 0.554 0.114
O14 0.405 0.061 0.291
O15 0.446 0.613 0.386
O16 0.478 0.754 0.682
O17 0.522 0.246 0.318
O18 0.554 0.387 0.614
O19 0.595 0.939 0.709
O20 0.613 0.446 0.886
O21 0.628 0.792 0.490
O22 0.655 0.769 0.201
O23 0.669 0.252 0.085
O24 0.670 0.159 0.851
O25 0.748 0.331 0.415
O26 0.754 0.478 0.182
O27 0.757 0.122 0.571
O28 0.769 0.655 0.701
O29 0.792 0.628 0.990
O30 0.841 0.330 0.649
O31 0.878 0.243 0.929
O32 0.939 0.595 0.209


No. 6
DFT (SCAN) results for HgBMoBr2 at its PBEsol-relaxed geometry.

Calculated values
V (Å³ per atom): 22.0
Final energy (eV/atom): -29.251
M_tot (μB/cell): 0.00

a = 5.121 Å, b = 5.121 Å, c = 4.196 Å
α = 90.00°, β = 90.00°, γ = 90.00°
Sites, in units of the cell vectors:
Hg1 0.000 0.000 0.000
B1 0.500 0.500 0.000
Mo1 0.500 0.500 0.500
Br1 0.000 0.500 0.500
Br2 0.500 0.000 0.500


No. 7
DFT (SCAN) results for NbB2CO at its PBEsol-relaxed geometry.

Calculated values
V (Å³ per atom): 9.5
Final energy (eV/atom): -11.731
M_tot (μB/cell): 0.00

a = 3.089 Å, b = 3.089 Å, c = 4.966 Å
α = 90.00°, β = 90.00°, γ = 90.00°
Sites, in units of the cell vectors:
Nb1 0.000 0.000 0.000
B1 0.000 0.500 0.500
B2 0.500 0.000 0.500
C1 0.500 0.500 0.000
O1 0.500 0.500 0.500


No. 8
DFT (SCAN) results for Cu2AsPt at its PBEsol-relaxed geometry.

Calculated values
V (Å³ per atom): 13.6
M_tot (μB/cell): 0.00
Energy relative to the elements (eV per atom): -0.076

a = 8.576 Å, b = 2.877 Å, c = 4.486 Å
α = 90.00°, β = 100.01°, γ = 90.00°
Sites, in units of the cell vectors:
Cu1 0.000 0.000 0.000
Cu2 0.244 0.500 0.209
Cu3 0.500 0.500 0.000
Cu4 0.744 0.000 0.209
As1 0.004 0.500 0.482
As2 0.504 0.000 0.482
Pt1 0.250 0.000 0.720
Pt2 0.750 0.500 0.720


Ρ in g/cm³, matching the order above: 2.0 5.3 10.5 7.3 4.5 7.0 5.0 12.1